Crystalline TlCu2Te at its relaxed geometry. Source: Alexandria via LeMat-Bulk, functional GGA-PBE.

Lattice parameters (Å, degrees): 3.252 3.252 8.312 90.00 90.00 90.13
Sites, in units of the cell vectors:
Tl 0.000 0.000 0.000
Cu 0.000 0.000 0.380
Cu 0.500 0.500 0.253
Te 0.500 0.500 0.590

Crystal system: orthorhombic
Polymorph energy (0 for the lowest one): 0.1691 eV per atom

=====

Crystalline TlCu3Te2 at its relaxed geometry. Source: Alexandria via LeMat-Bulk, functional GGA-PBE.

Lattice parameters (Å, degrees): 8.566 8.624 16.834 90.00 119.61 90.00
Sites, in units of the cell vectors:
Tl 0.000 0.214 0.000
Tl 0.000 0.786 0.500
Tl 0.292 0.230 0.248
Tl 0.292 0.770 0.748
Tl 0.563 0.221 0.501
Tl 0.563 0.779 0.001
Tl 0.752 0.258 0.744
Tl 0.752 0.742 0.244
Cu 0.182 0.359 0.462
Cu 0.182 0.641 0.962
Cu 0.285 0.160 0.596
Cu 0.285 0.840 0.096
Cu 0.286 0.170 0.953
Cu 0.286 0.830 0.453
Cu 0.299 0.242 0.746
Cu 0.299 0.758 0.246
Cu 0.461 0.441 0.023
Cu 0.461 0.559 0.523
Cu 0.538 0.382 0.892
Cu 0.538 0.618 0.392
Cu 0.628 0.184 0.024
Cu 0.628 0.816 0.524
Cu 0.734 0.120 0.301
Cu 0.734 0.880 0.801
Cu 0.870 0.130 0.192
Cu 0.870 0.870 0.692
Cu 0.928 0.379 0.291
Cu 0.928 0.621 0.791
Cu 0.948 0.171 0.475
Cu 0.948 0.829 0.975
Cu 0.992 0.446 0.543
Cu 0.992 0.554 0.043
Te 0.005 0.092 0.634
Te 0.005 0.908 0.134
Te 0.093 0.087 0.374
Te 0.093 0.913 0.874
Te 0.203 0.415 0.853
Te 0.203 0.585 0.353
Te 0.340 0.455 0.633
Te 0.340 0.545 0.133
Te 0.491 0.077 0.125
Te 0.491 0.923 0.625
Te 0.575 0.079 0.867
Te 0.575 0.921 0.367
Te 0.738 0.410 0.373
Te 0.738 0.590 0.873
Te 0.815 0.425 0.118
Te 0.815 0.575 0.618

Crystal system: monoclinic
Total energy: -171.62 eV/cell

=====

Crystalline TlCu2Te at its relaxed geometry. Source: Alexandria via LeMat-Bulk, functional GGA-PBE.

Lattice parameters (Å, degrees): 4.614 4.614 3.852 90.00 90.00 90.00
Sites, in units of the cell vectors:
Tl 0.000 0.000 0.000
Cu 0.000 0.500 0.500
Cu 0.500 0.000 0.500
Te 0.500 0.500 0.000

Crystal system: tetragonal
Polymorph energy (0 for the lowest one): 0.2545 eV per atom

=====

Crystalline TlCu2Te at its relaxed geometry. Source: Alexandria via LeMat-Bulk, functional GGA-PBE.

Lattice parameters (Å, degrees): 6.621 6.621 6.621 146.48 146.48 48.13
Sites, in units of the cell vectors:
Tl 0.000 0.000 0.000
Cu 0.250 0.750 0.500
Cu 0.500 0.500 0.000
Te 0.750 0.250 0.500

Crystal system: tetragonal
Polymorph energy (0 for the lowest one): 0.2282 eV per atom

=====

Crystalline TlCu3Te3 at its relaxed geometry. Source: Alexandria via LeMat-Bulk, functional GGA-PBE.

Lattice parameters (Å, degrees): 9.498 9.498 9.498 44.24 44.24 44.24
Sites, in units of the cell vectors:
Tl 0.164 0.164 0.164
Tl 0.836 0.836 0.836
Cu 0.025 0.355 0.708
Cu 0.292 0.975 0.645
Cu 0.355 0.708 0.025
Cu 0.645 0.292 0.975
Cu 0.708 0.025 0.355
Cu 0.975 0.645 0.292
Te 0.075 0.729 0.411
Te 0.271 0.589 0.925
Te 0.411 0.075 0.729
Te 0.589 0.925 0.271
Te 0.729 0.411 0.075
Te 0.925 0.271 0.589

Crystal system: trigonal
Polymorph energy (0 for the lowest one): 0.0000 eV per atom

=====

Crystalline Tl2CuTe2 at its relaxed geometry. Source: Alexandria via LeMat-Bulk, functional GGA-PBE.

Lattice parameters (Å, degrees): 7.064 7.064 6.052 90.00 90.00 90.00
Sites, in units of the cell vectors:
Tl 0.177 0.323 0.000
Tl 0.323 0.823 0.000
Tl 0.677 0.177 0.000
Tl 0.823 0.677 0.000
Cu 0.000 0.000 0.500
Cu 0.500 0.500 0.500
Te 0.156 0.656 0.500
Te 0.344 0.156 0.500
Te 0.656 0.844 0.500
Te 0.844 0.344 0.500

Crystal system: tetragonal
Total energy: -30.43 eV/cell

=====

Crystalline TlCu2Te at its relaxed geometry. Source: Alexandria via LeMat-Bulk, functional GGA-PBE.

Lattice parameters (Å, degrees): 6.883 6.883 6.883 148.44 147.54 45.91
Sites, in units of the cell vectors:
Tl 0.000 0.000 0.000
Cu 0.218 0.718 0.500
Cu 0.590 0.590 0.000
Te 0.752 0.252 0.500

Crystal system: orthorhombic
Polymorph energy (0 for the lowest one): 0.0749 eV per atom

=====

Crystalline TlCu2Te at its relaxed geometry. Source: Alexandria via LeMat-Bulk, functional GGA-PBE.

Lattice parameters (Å, degrees): 3.987 4.059 5.799 90.00 90.00 90.00
Sites, in units of the cell vectors:
Tl 0.000 0.000 0.000
Cu 0.500 0.500 0.210
Cu 0.500 0.500 0.790
Te 0.000 0.500 0.500

Crystal system: orthorhombic
Polymorph energy (0 for the lowest one): 0.1195 eV per atom

=====

Crystalline Tl2CuTe2 at its relaxed geometry. Source: Alexandria via LeMat-Bulk, functional GGA-PBE.

Lattice parameters (Å, degrees): 6.009 6.009 6.009 119.50 119.50 90.87
Sites, in units of the cell vectors:
Tl 0.176 0.176 0.000
Tl 0.824 0.824 0.000
Cu 0.500 0.500 0.000
Te 0.250 0.750 0.500
Te 0.750 0.250 0.500

Crystal system: tetragonal
Total energy: -13.49 eV/cell

=====

Crystalline TlCuTe at its relaxed geometry. Source: Alexandria via LeMat-Bulk, functional GGA-PBE.

Lattice parameters (Å, degrees): 4.807 4.807 4.807 60.00 60.00 60.00
Sites, in units of the cell vectors:
Tl 0.000 0.000 0.000
Cu 0.250 0.250 0.250
Te 0.500 0.500 0.500

Crystal system: cubic
Total energy: -9.63 eV/cell

=====

Crystalline Tl2CuTe at its relaxed geometry. Source: Alexandria via LeMat-Bulk, functional GGA-PBE.

Lattice parameters (Å, degrees): 5.423 5.423 5.423 60.00 60.00 60.00
Sites, in units of the cell vectors:
Tl 0.250 0.250 0.250
Tl 0.750 0.750 0.750
Cu 0.000 0.000 0.000
Te 0.500 0.500 0.500

Crystal system: cubic
Polymorph energy (0 for the lowest one): 0.2881 eV per atom

=====

Crystalline TlCu4Te5 at its relaxed geometry. Source: Alexandria via LeMat-Bulk, functional GGA-PBE.

Lattice parameters (Å, degrees): 7.910 11.871 5.775 90.00 90.00 90.00
Sites, in units of the cell vectors:
Tl 0.250 0.250 0.193
Tl 0.750 0.750 0.807
Cu 0.072 0.750 0.057
Cu 0.250 0.535 0.542
Cu 0.250 0.965 0.542
Cu 0.428 0.750 0.057
Cu 0.572 0.250 0.943
Cu 0.750 0.035 0.458
Cu 0.750 0.465 0.458
Cu 0.928 0.250 0.943
Te 0.003 0.557 0.221
Te 0.003 0.943 0.221
Te 0.250 0.750 0.687
Te 0.497 0.557 0.221
Te 0.497 0.943 0.221
Te 0.503 0.057 0.779
Te 0.503 0.443 0.779
Te 0.750 0.250 0.313
Te 0.997 0.057 0.779
Te 0.997 0.443 0.779

Crystal system: orthorhombic
Total energy: -69.33 eV/cell

=====

Crystalline Tl3CuTe2 at its relaxed geometry. Source: Alexandria via LeMat-Bulk, functional GGA-PBE.

Lattice parameters (Å, degrees): 9.472 9.472 12.642 128.02 128.02 28.37
Sites, in units of the cell vectors:
Tl 0.056 0.056 0.254
Tl 0.265 0.265 0.676
Tl 0.362 0.362 0.039
Tl 0.638 0.638 0.961
Tl 0.735 0.735 0.324
Tl 0.944 0.944 0.746
Cu 0.436 0.436 0.368
Cu 0.564 0.564 0.632
Te 0.137 0.137 0.777
Te 0.383 0.383 0.524
Te 0.617 0.617 0.476
Te 0.863 0.863 0.223

Crystal system: monoclinic
Total energy: -37.16 eV/cell

=====

Crystalline TlCu6Te6 at its relaxed geometry. Source: Alexandria via LeMat-Bulk, functional GGA-PBE.

Lattice parameters (Å, degrees): 7.272 7.272 7.272 90.00 90.00 90.00
Sites, in units of the cell vectors:
Tl 0.000 0.000 0.000
Cu 0.000 0.500 0.248
Cu 0.000 0.500 0.752
Cu 0.248 0.000 0.500
Cu 0.500 0.248 0.000
Cu 0.500 0.752 0.000
Cu 0.752 0.000 0.500
Te 0.000 0.251 0.500
Te 0.000 0.749 0.500
Te 0.251 0.500 0.000
Te 0.500 0.000 0.251
Te 0.500 0.000 0.749
Te 0.749 0.500 0.000

Crystal system: cubic
Total energy: -45.88 eV/cell

=====

Crystalline Tl2CuTe at its relaxed geometry. Source: Alexandria via LeMat-Bulk, functional GGA-PBE.

Lattice parameters (Å, degrees): 4.290 4.290 7.765 106.44 106.44 60.13
Sites, in units of the cell vectors:
Tl 0.000 0.000 0.000
Tl 0.219 0.219 0.656
Cu 0.475 0.475 0.428
Te 0.768 0.768 0.311

Crystal system: monoclinic
Polymorph energy (0 for the lowest one): 0.0000 eV per atom

=====

Crystalline TlCu2Te at its relaxed geometry. Source: Alexandria via LeMat-Bulk, functional GGA-PBE.

Lattice parameters (Å, degrees): 4.890 4.890 4.890 60.00 60.00 60.00
Sites, in units of the cell vectors:
Tl 0.000 0.000 0.000
Cu 0.250 0.250 0.250
Cu 0.750 0.750 0.750
Te 0.500 0.500 0.500

Crystal system: cubic
Polymorph energy (0 for the lowest one): 0.2310 eV per atom

=====

Crystalline TlCu2Te2 at its relaxed geometry. Source: Alexandria via LeMat-Bulk, functional GGA-PBE.

Lattice parameters (Å, degrees): 6.357 6.357 6.357 130.72 130.72 72.26
Sites, in units of the cell vectors:
Tl 0.000 0.000 0.000
Cu 0.288 0.288 0.000
Cu 0.712 0.712 0.000
Te 0.250 0.750 0.500
Te 0.750 0.250 0.500

Crystal system: tetragonal
Polymorph energy (0 for the lowest one): 0.2078 eV per atom

=====

Crystalline TlCu2Te at its relaxed geometry. Source: Alexandria via LeMat-Bulk, functional GGA-PBE.

Lattice parameters (Å, degrees): 6.824 6.824 6.824 35.39 35.39 35.39
Sites, in units of the cell vectors:
Tl 0.000 0.000 0.000
Cu 0.240 0.240 0.240
Cu 0.541 0.541 0.541
Te 0.821 0.821 0.821

Crystal system: trigonal
Polymorph energy (0 for the lowest one): 0.0000 eV per atom

=====

Crystalline Tl2Cu2Te at its relaxed geometry. Source: Alexandria via LeMat-Bulk, functional GGA-PBE.

Lattice parameters (Å, degrees): 10.579 10.579 10.579 161.25 161.25 26.63
Sites, in units of the cell vectors:
Tl 0.128 0.128 0.000
Tl 0.872 0.872 0.000
Cu 0.250 0.750 0.500
Cu 0.750 0.250 0.500
Te 0.500 0.500 0.000

Crystal system: tetragonal
Polymorph energy (0 for the lowest one): 0.0837 eV per atom

=====

Crystalline Tl2CuTe2 at its relaxed geometry. Source: Alexandria via LeMat-Bulk, functional GGA-PBE.

Lattice parameters (Å, degrees): 8.600 8.600 8.853 90.00 90.00 150.98
Sites, in units of the cell vectors:
Tl 0.065 0.935 0.500
Tl 0.204 0.796 0.809
Tl 0.796 0.204 0.309
Tl 0.935 0.065 0.000
Cu 0.429 0.571 0.627
Cu 0.571 0.429 0.127
Te 0.160 0.840 0.162
Te 0.449 0.551 0.319
Te 0.551 0.449 0.819
Te 0.840 0.160 0.662

Crystal system: orthorhombic
Total energy: -31.76 eV/cell

=====

Crystalline TlCu2Te at its relaxed geometry. Source: Alexandria via LeMat-Bulk, functional GGA-PBE.

Lattice parameters (Å, degrees): 4.755 4.755 4.142 104.30 104.30 90.28
Sites, in units of the cell vectors:
Tl 0.000 0.000 0.000
Cu 0.000 0.500 0.500
Cu 0.500 0.000 0.500
Te 0.500 0.500 0.000

Crystal system: monoclinic
Polymorph energy (0 for the lowest one): 0.2116 eV per atom

=====

Crystalline Tl3CuTe at its relaxed geometry. Source: Alexandria via LeMat-Bulk, functional GGA-PBE.

Lattice parameters (Å, degrees): 5.307 5.307 5.307 90.00 90.00 90.00
Sites, in units of the cell vectors:
Tl 0.000 0.000 0.500
Tl 0.000 0.500 0.000
Tl 0.500 0.000 0.000
Cu 0.000 0.000 0.000
Te 0.500 0.500 0.500

Crystal system: cubic
Polymorph energy (0 for the lowest one): 0.0000 eV per atom

=====

Crystalline Tl2CuTe at its relaxed geometry. Source: Alexandria via LeMat-Bulk, functional GGA-PBE.

Lattice parameters (Å, degrees): 6.020 3.304 6.142 90.00 116.98 90.00
Sites, in units of the cell vectors:
Tl 0.000 0.000 0.000
Tl 0.500 0.000 0.500
Cu 0.000 0.500 0.500
Te 0.500 0.500 0.000

Crystal system: monoclinic
Polymorph energy (0 for the lowest one): 0.2743 eV per atom

=====

Crystalline TlCu3Te3 at its relaxed geometry. Source: Alexandria via LeMat-Bulk, functional GGA-PBE.

Lattice parameters (Å, degrees): 9.530 9.530 4.154 90.00 90.00 120.00
Sites, in units of the cell vectors:
Tl 0.333 0.667 0.250
Tl 0.667 0.333 0.750
Cu 0.023 0.176 0.250
Cu 0.153 0.977 0.250
Cu 0.176 0.153 0.750
Cu 0.824 0.847 0.250
Cu 0.847 0.023 0.750
Cu 0.977 0.824 0.750
Te 0.042 0.361 0.750
Te 0.319 0.958 0.750
Te 0.361 0.319 0.250
Te 0.639 0.681 0.750
Te 0.681 0.042 0.250
Te 0.958 0.639 0.250

Crystal system: hexagonal
Polymorph energy (0 for the lowest one): 0.0644 eV per atom

=====

Spin magnetization, record by record: 0.00 0.00 0.00 0.00 0.00 0.00 0.00 0.00 0.00 0.00 0.00 0.00 0.00 0.00 0.00 0.00 0.00 0.00 0.00 0.00 0.00 0.00 0.00 0.00 μB/f.u.